1.
SrLaPO2: optimized geometry, GGA-PBE.

```
SrLaPO2
1.0
4.498 0.000 0.000
0.000 4.498 0.000
0.000 0.000 5.512
Sr La P O
1 1 1 2
direct
0.000 0.000 0.000
0.500 0.500 0.500
0.000 0.000 0.500
0.000 0.500 0.000
0.500 0.000 0.000
```

Results
The value obtained for the uncorrected energy is -5.410 eV per atom. For the density, the calculation gives 4.311 g/cm3. The raw formation energy is -1.023 eV/atom. Its energy above the most stable polymorph in this dataset is 538 meV per atom.

***

2.
SrLaP2O: optimized geometry, GGA-PBE.

```
SrLaP2O
1.0
5.725 0.000 0.000
0.000 5.725 0.000
0.000 0.000 4.339
Sr La P O
1 1 2 1
direct
0.000 0.000 0.000
0.500 0.500 0.500
0.000 0.500 0.500
0.500 0.000 0.500
0.500 0.500 0.000
```

Results
The value obtained for the uncorrected energy is -5.298 eV per atom. For the density, the calculation gives 3.555 g/cm3. The raw formation energy is -0.820 eV/atom. Its energy above the most stable polymorph in this dataset is 0 meV per atom.

***

3.
SrLaP2O8: optimized geometry, GGA-PBE.

```
SrLaP2O8
1.0
5.476 0.000 0.000
-2.738 4.742 0.000
0.000 0.000 7.624
Sr La P O
1 1 2 8
direct
0.000 0.000 0.000
0.000 0.000 0.500
0.333 0.667 0.788
0.667 0.333 0.212
0.177 0.358 0.721
0.181 0.823 0.721
0.333 0.667 0.991
0.358 0.181 0.279
0.642 0.819 0.721
0.667 0.333 0.009
0.819 0.177 0.279
0.823 0.642 0.279
```

Results
The value obtained for the uncorrected energy is -7.403 eV per atom. For the density, the calculation gives 3.494 g/cm3. The raw formation energy is -2.645 eV/atom.

***

4.
LaTaPO2: optimized geometry, GGA-PBE.

```
LaTaPO2
1.0
4.087 0.000 0.000
0.000 4.087 0.000
0.000 0.000 6.815
La Ta P O
1 1 1 2
direct
0.000 0.000 0.000
0.500 0.500 0.500
0.000 0.000 0.500
0.000 0.500 0.000
0.500 0.000 0.000
```

Results
The value obtained for the uncorrected energy is -6.832 eV per atom. For the density, the calculation gives 5.586 g/cm3. The raw formation energy is -0.411 eV/atom. Its energy above the most stable polymorph in this dataset is 1701 meV per atom.

***

5.
LaTaPO2: optimized geometry, GGA-PBE.

```
LaTaPO2
1.0
4.080 0.000 0.000
0.000 4.080 0.000
0.000 0.000 5.014
La Ta P O
1 1 1 2
direct
0.000 0.000 0.000
0.500 0.500 0.500
0.500 0.500 0.000
0.000 0.500 0.500
0.500 0.000 0.500
```

Results
The value obtained for the uncorrected energy is -8.533 eV per atom. For the density, the calculation gives 7.618 g/cm3. The raw formation energy is -2.111 eV/atom. Its energy above the most stable polymorph in this dataset is 0 meV per atom.

***

6.
La3TbP4O16: optimized geometry, GGA-PBE.

```
La3TbP4O16
1.0
6.508 0.000 0.000
1.639 6.669 0.000
0.087 -0.015 7.073
La Tb P O
3 1 4 16
direct
0.000 0.000 0.000
0.201 0.436 0.683
0.702 0.941 0.503
0.518 0.513 0.193
0.216 0.914 0.500
0.486 0.024 0.008
0.710 0.419 0.687
0.993 0.524 0.178
0.045 0.970 0.346
0.094 0.602 0.001
0.104 0.836 0.671
0.174 0.473 0.324
0.287 0.181 0.943
0.312 0.092 0.551
0.399 0.839 0.063
0.411 0.746 0.440
0.544 0.467 0.851
0.592 0.114 0.174
0.592 0.351 0.515
0.658 0.970 0.851
0.798 0.691 0.243
0.808 0.596 0.637
0.887 0.349 0.138
0.903 0.246 0.734
```

Results
The value obtained for the uncorrected energy is -8.038 eV per atom. For the density, the calculation gives 5.169 g/cm3. The raw formation energy is -3.022 eV/atom.

***

7.
LaTcP2O: optimized geometry, GGA-PBE.

```
LaTcP2O
1.0
5.597 0.000 0.000
0.000 5.597 0.000
0.000 0.000 4.150
La Tc P O
1 1 2 1
direct
0.000 0.000 0.000
0.500 0.500 0.500
0.000 0.500 0.000
0.500 0.000 0.000
0.000 0.000 0.500
```

Results
The value obtained for the uncorrected energy is -5.614 eV per atom. For the density, the calculation gives 4.022 g/cm3. The raw formation energy is 0.600 eV/atom. Its energy above the most stable polymorph in this dataset is 1484 meV per atom.

***

8.
LaTcP2O: optimized geometry, GGA-PBE.

```
LaTcP2O
1.0
4.882 0.000 0.000
0.000 4.882 0.000
0.000 0.000 3.808
La Tc P O
1 1 2 1
direct
0.000 0.000 0.000
0.500 0.500 0.500
0.000 0.500 0.500
0.500 0.000 0.500
0.500 0.500 0.000
```

Results
The value obtained for the uncorrected energy is -7.099 eV per atom. For the density, the calculation gives 5.759 g/cm3. The raw formation energy is -0.884 eV/atom. Its energy above the most stable polymorph in this dataset is 0 meV per atom.

***

9.
LaTePO2: optimized geometry, GGA-PBE.

```
LaTePO2
1.0
4.203 0.000 0.000
0.000 4.203 0.000
0.000 0.000 7.036
La Te P O
1 1 1 2
direct
0.000 0.000 0.000
0.500 0.500 0.500
0.000 0.000 0.500
0.000 0.500 0.000
0.500 0.000 0.000
```

Results
The value obtained for the uncorrected energy is -5.537 eV per atom. For the density, the calculation gives 4.401 g/cm3. The raw formation energy is -0.858 eV/atom. Its energy above the most stable polymorph in this dataset is 259 meV per atom.

***

10.
LaTePO2: optimized geometry, GGA-PBE.

```
LaTePO2
1.0
4.266 0.000 0.000
0.000 4.266 0.000
0.000 0.000 5.205
La Te P O
1 1 1 2
direct
0.000 0.000 0.000
0.500 0.500 0.500
0.500 0.500 0.000
0.000 0.500 0.500
0.500 0.000 0.500
```

Results
The value obtained for the uncorrected energy is -5.797 eV per atom. For the density, the calculation gives 5.775 g/cm3. The raw formation energy is -1.117 eV/atom. Its energy above the most stable polymorph in this dataset is 0 meV per atom.

***

11.
LaTlP2O8: optimized geometry, GGA-PBE.

```
LaTlP2O8
1.0
5.137 0.000 0.000
-2.568 4.448 0.000
0.000 0.000 7.439
La Tl P O
1 1 2 8
direct
0.000 0.000 0.000
0.000 0.000 0.500
0.333 0.667 0.780
0.667 0.333 0.220
0.101 0.343 0.717
0.242 0.899 0.717
0.333 0.667 0.987
0.343 0.242 0.283
0.657 0.758 0.717
0.667 0.333 0.013
0.758 0.101 0.283
0.899 0.657 0.283
```

Results
The value obtained for the uncorrected energy is -7.059 eV per atom. For the density, the calculation gives 5.209 g/cm3. The raw formation energy is -2.244 eV/atom.

***

12.
LaTlP2O: optimized geometry, GGA-PBE.

```
LaTlP2O
1.0
5.073 0.000 0.000
0.000 5.073 0.000
0.000 0.000 4.347
La Tl P O
1 1 2 1
direct
0.000 0.000 0.000
0.500 0.500 0.500
0.000 0.500 0.500
0.500 0.000 0.500
0.500 0.500 0.000
```

Results
The value obtained for the uncorrected energy is -4.735 eV per atom. For the density, the calculation gives 6.253 g/cm3. The raw formation energy is -0.120 eV/atom. Its energy above the most stable polymorph in this dataset is 76 meV per atom.

***

13.
LaTlP2O: optimized geometry, GGA-PBE.

```
LaTlP2O
1.0
5.953 0.000 0.000
0.000 5.953 0.000
0.000 0.000 4.344
La Tl P O
1 1 2 1
direct
0.000 0.000 0.000
0.500 0.500 0.500
0.000 0.500 0.000
0.500 0.000 0.000
0.000 0.000 0.500
```

Results
The value obtained for the uncorrected energy is -4.810 eV per atom. For the density, the calculation gives 4.545 g/cm3. The raw formation energy is -0.196 eV/atom. Its energy above the most stable polymorph in this dataset is 0 meV per atom.

***

14.
LaTlPO2: optimized geometry, GGA-PBE.

```
LaTlPO2
1.0
4.310 0.000 0.000
0.000 4.310 0.000
0.000 0.000 6.406
La Tl P O
1 1 1 2
direct
0.000 0.000 0.000
0.500 0.500 0.500
0.000 0.000 0.500
0.000 0.500 0.000
0.500 0.000 0.000
```

Results
The value obtained for the uncorrected energy is -5.486 eV per atom. For the density, the calculation gives 5.670 g/cm3. The raw formation energy is -0.962 eV/atom. Its energy above the most stable polymorph in this dataset is 0 meV per atom.

***

15.
LaTlPO2: optimized geometry, GGA-PBE.

```
LaTlPO2
1.0
4.375 0.000 0.000
0.000 4.375 0.000
0.000 0.000 5.007
La Tl P O
1 1 1 2
direct
0.000 0.000 0.000
0.500 0.500 0.500
0.500 0.500 0.000
0.000 0.500 0.500
0.500 0.000 0.500
```

Results
The value obtained for the uncorrected energy is -5.250 eV per atom. For the density, the calculation gives 7.041 g/cm3. The raw formation energy is -0.726 eV/atom. Its energy above the most stable polymorph in this dataset is 236 meV per atom.